The following is a DFT calculation (PBE-GGA) of crystalline K4LiSe at its relaxed geometry.

Geometry as extended XYZ:
```
6
Lattice="0.0000 5.1741 5.1741 5.1741 0.0000 5.1741 5.1741 5.1741 0.0000" Properties=species:S:1:pos:R:3 pbc="T T T"
K 3.8619 6.4863 6.4863
K 6.4863 6.4863 3.8619
K 6.4863 3.8619 6.4863
K 3.8619 3.8619 3.8619
Li 7.7612 7.7612 7.7612
Se 0.0000 0.0000 0.0000
```

Summary:
E_form (uncorrected) = 0.6 eV per formula unit